# Pm2TeN, optimized geometry, DFT GGA-PBE
# **Excess energy over the best structure of this formula in the dataset**: 0.687 eV/atom
# **Calculated volume**: 36.5 Å³/atom
# **Uncorrected energy**: -5.956 eV/atom
data_Pm2TeN
_space_group_name_H-M_alt 'R -3 m'
_space_group_IT_number 166
_space_group_name_Hall '-R 3 2"'
_cell_length_a 4.7355
_cell_length_b 4.7355
_cell_length_c 22.5727
_cell_angle_alpha 90.00
_cell_angle_beta 90.00
_cell_angle_gamma 120.00
loop_
_atom_site_label
_atom_site_fract_x
_atom_site_fract_y
_atom_site_fract_z
Pm1 0.0000 0.0000 0.0912
Te1 0.0000 0.0000 0.5000
N1 0.0000 0.0000 0.0000